[1]
# NbNi2Sn (PBE, optimized geometry)
data_NbNi2Sn
_chemical_formula_sum 'Nb4 Ni8 Sn4'
_cell_length_a 6.241
_cell_length_b 6.241
_cell_length_c 6.241
_cell_angle_alpha 90.00
_cell_angle_beta 90.00
_cell_angle_gamma 90.00
_symmetry_space_group_name_H-M 'F -4 3 m'
_symmetry_Int_Tables_number 216
_symmetry_space_group_name_Hall 'F -4 2 3'
loop_
_atom_site_label
_atom_site_fract_x
_atom_site_fract_y
_atom_site_fract_z
Nb1 0.000 0.000 0.000
Ni1 0.000 0.000 0.500
Ni2 0.250 0.250 0.250
Sn1 0.250 0.250 0.750
# E_tot (eV/atom): -6.296

[2]
# Nb2Ni2Sn3 (PBE, optimized geometry)
data_Nb2Ni2Sn3
_chemical_formula_sum 'Nb6 Ni6 Sn9'
_cell_length_a 4.4523
_cell_length_b 4.4523
_cell_length_c 23.8388
_cell_angle_alpha 90.00
_cell_angle_beta 90.00
_cell_angle_gamma 120.00
_symmetry_space_group_name_H-M 'R 3 m'
_symmetry_Int_Tables_number 160
_symmetry_space_group_name_Hall 'R 3 -2"'
loop_
_atom_site_label
_atom_site_fract_x
_atom_site_fract_y
_atom_site_fract_z
Nb1 0.0000 0.0000 0.0000
Nb2 0.0000 0.0000 0.4955
Ni1 0.0000 0.0000 0.2503
Ni2 0.0000 0.0000 0.7439
Sn1 0.0000 0.0000 0.3837
Sn2 0.0000 0.0000 0.6177
Sn3 0.0000 0.0000 0.8644
# E_tot (eV/atom): -5.855

[3]
# NbNiSnW (PBE, optimized geometry)
data_NbNiSnW
_chemical_formula_sum 'Nb4 Ni4 Sn4 W4'
_cell_length_a 6.438
_cell_length_b 6.438
_cell_length_c 6.438
_cell_angle_alpha 90.00
_cell_angle_beta 90.00
_cell_angle_gamma 90.00
_symmetry_space_group_name_H-M 'F -4 3 m'
_symmetry_Int_Tables_number 216
_symmetry_space_group_name_Hall 'F -4 2 3'
loop_
_atom_site_label
_atom_site_fract_x
_atom_site_fract_y
_atom_site_fract_z
Nb1 0.000 0.000 0.000
Ni1 0.000 0.000 0.500
Sn1 0.250 0.250 0.250
W1 0.250 0.250 0.750
# E_tot (eV/atom): -7.835

[4]
# YNbNi2Sn2 (PBE, optimized geometry)
data_YNbNi2Sn2
_chemical_formula_sum 'Y2 Nb2 Ni4 Sn4'
_cell_length_a 4.352
_cell_length_b 8.753
_cell_length_c 6.198
_cell_angle_alpha 90.00
_cell_angle_beta 90.00
_cell_angle_gamma 90.00
_symmetry_space_group_name_H-M 'P m n 21'
_symmetry_Int_Tables_number 31
loop_
_symmetry_equiv_pos_as_xyz
'x,y,z'
'-x+1/2,-y,z+1/2'
'-x,y,z'
'x+1/2,-y,z+1/2'
loop_
_atom_site_label
_atom_site_fract_x
_atom_site_fract_y
_atom_site_fract_z
Y1 0.000 0.122 0.000
Nb1 0.000 0.624 0.991
Ni1 0.000 0.388 0.734
Ni2 0.000 0.854 0.762
Sn1 0.000 0.135 0.504
Sn2 0.000 0.620 0.484
# E_tot (eV/atom): -6.464

[5]
# NbZnNiSn (PBE, optimized geometry)
data_NbZnNiSn
_chemical_formula_sum 'Nb4 Zn4 Ni4 Sn4'
_cell_length_a 6.420
_cell_length_b 6.420
_cell_length_c 6.420
_cell_angle_alpha 90.00
_cell_angle_beta 90.00
_cell_angle_gamma 90.00
_symmetry_space_group_name_H-M 'F -4 3 m'
_symmetry_Int_Tables_number 216
_symmetry_space_group_name_Hall 'F -4 2 3'
loop_
_atom_site_label
_atom_site_fract_x
_atom_site_fract_y
_atom_site_fract_z
Nb1 0.000 0.000 0.000
Zn1 0.250 0.250 0.750
Ni1 0.000 0.000 0.500
Sn1 0.250 0.250 0.250
# E_tot (eV/atom): -5.100

[6]
# ZrNbNiSn (PBE, optimized geometry)
data_ZrNbNiSn
_chemical_formula_sum 'Zr4 Nb4 Ni4 Sn4'
_cell_length_a 6.658
_cell_length_b 6.658
_cell_length_c 6.658
_cell_angle_alpha 90.00
_cell_angle_beta 90.00
_cell_angle_gamma 90.00
_symmetry_space_group_name_H-M 'F -4 3 m'
_symmetry_Int_Tables_number 216
_symmetry_space_group_name_Hall 'F -4 2 3'
loop_
_atom_site_label
_atom_site_fract_x
_atom_site_fract_y
_atom_site_fract_z
Zr1 0.000 0.000 0.000
Nb1 0.250 0.250 0.250
Ni1 0.250 0.250 0.750
Sn1 0.000 0.000 0.500
# E_tot (eV/atom): -6.990